This record from Alexandria describes crystalline Ce2CS at its relaxed geometry. The functional is PBE.

For the formation energy without anion corrections, the calculation gives -1.059 eV per atom.

The space group is P2/c (No. 13) and the conventional cell measures 5.507, 5.507 and 12.090 Å, with angles of 90.00, 116.99 and 90.00 degrees. The distinct sites, in fractional coordinates, are Ce at (0.107, 0.250, 0.108), Ce at (0.356, 0.249, 0.858), C at (0.119, 0.247, 0.625) and S at (0.376, 0.251, 0.375).

---

This record from Alexandria describes crystalline Ce3CS2 at its relaxed geometry. The functional is PBE.

For the formation energy without anion corrections, the calculation gives -1.408 eV per atom.

The space group is Immm (No. 71) and the conventional cell measures 3.846, 5.577 and 11.859 Å, with angles of 90.00, 90.00 and 90.00 degrees. The distinct sites, in fractional coordinates, are Ce at (0.000, 0.000, 0.000), Ce at (0.000, 0.000, 0.353), C at (0.000, 0.500, 0.000) and S at (0.000, 0.500, 0.327).

---

This record from Alexandria describes crystalline Ce6CS5 at its relaxed geometry. The functional is PBE.

For the formation energy without anion corrections, the calculation gives -1.737 eV per atom.

The space group is C2/m (No. 12) and the conventional cell measures 6.872, 11.890 and 6.871 Å, with angles of 90.00, 109.49 and 90.00 degrees. The distinct sites, in fractional coordinates, are Ce at (0.234, 0.000, 0.262), Ce at (0.236, 0.157, 0.736), C at (0.000, 0.000, 0.500), S at (0.000, 0.173, 0.000), S at (0.000, 0.334, 0.500) and S at (0.000, 0.500, 0.000).

---

This record from Alexandria describes crystalline Ce2CS at its relaxed geometry. The functional is PBE.

For the formation energy without anion corrections, the calculation gives -1.121 eV per atom.

The space group is R-3m (No. 166, hexagonal axes) and the conventional cell measures 3.8114, 3.8114 and 19.3265 Å, with angles of 90.00, 90.00 and 120.00 degrees. The distinct sites, in fractional coordinates, are Ce at (0.0000, 0.0000, 0.2392), C at (0.0000, 0.0000, 0.5000) and S at (0.0000, 0.0000, 0.0000).

---

This record from Alexandria describes crystalline Ce2CS at its relaxed geometry. The functional is PBE.

For the formation energy without anion corrections, the calculation gives -1.031 eV per atom.

The space group is R3m (No. 160, hexagonal axes) and the conventional cell measures 3.7454, 3.7454 and 20.3578 Å, with angles of 90.00, 90.00 and 120.00 degrees. The distinct sites, in fractional coordinates, are Ce at (0.0000, 0.0000, 0.0000), Ce at (0.0000, 0.0000, 0.1934), C at (0.0000, 0.0000, 0.5987) and S at (0.0000, 0.0000, 0.4288).

---

This record from Alexandria describes crystalline CeScCS at its relaxed geometry. The functional is PBE.

For the formation energy without anion corrections, the calculation gives -1.184 eV per atom.

The space group is R3m (No. 160, hexagonal axes) and the conventional cell measures 3.6335, 3.6335 and 18.5897 Å, with angles of 90.00, 90.00 and 120.00 degrees. The distinct sites, in fractional coordinates, are Ce at (0.0000, 0.0000, 0.0000), Sc at (0.0000, 0.0000, 0.4758), C at (0.0000, 0.0000, 0.7393) and S at (0.0000, 0.0000, 0.2277).

---

This record from Alexandria describes crystalline CeThCS at its relaxed geometry. The functional is PBE.

For the formation energy without anion corrections, the calculation gives -1.088 eV per atom.

The space group is R3m (No. 160, hexagonal axes) and the conventional cell measures 3.7739, 3.7739 and 20.6346 Å, with angles of 90.00, 90.00 and 120.00 degrees. The distinct sites, in fractional coordinates, are Ce at (0.0000, 0.0000, 0.0000), Th at (0.0000, 0.0000, 0.8053), C at (0.0000, 0.0000, 0.4040) and S at (0.0000, 0.0000, 0.2357).

---

This record from Alexandria describes crystalline CeTmCS at its relaxed geometry. The functional is PBE.

For the formation energy without anion corrections, the calculation gives -1.222 eV per atom.

The space group is R3m (No. 160, hexagonal axes) and the conventional cell measures 3.7262, 3.7262 and 19.0557 Å, with angles of 90.00, 90.00 and 120.00 degrees. The distinct sites, in fractional coordinates, are Ce at (0.0000, 0.0000, 0.0000), Tm at (0.0000, 0.0000, 0.4764), C at (0.0000, 0.0000, 0.7368) and S at (0.0000, 0.0000, 0.2324).

---

This record from Alexandria describes crystalline CeYCS at its relaxed geometry. The functional is PBE.

For the formation energy without anion corrections, the calculation gives -1.211 eV per atom.

The space group is R3m (No. 160, hexagonal axes) and the conventional cell measures 3.7644, 3.7644 and 19.2044 Å, with angles of 90.00, 90.00 and 120.00 degrees. The distinct sites, in fractional coordinates, are Ce at (0.0000, 0.0000, 0.0000), Y at (0.0000, 0.0000, 0.4771), C at (0.0000, 0.0000, 0.7349) and S at (0.0000, 0.0000, 0.2346).

---

This record from Alexandria describes crystalline Ce7Sb2C2 at its relaxed geometry. The functional is PBE.

For the formation energy without anion corrections, the calculation gives -0.204 eV per atom.

The space group is Cmmm (No. 65) and the conventional cell measures 8.436, 10.253 and 6.548 Å, with angles of 90.00, 90.00 and 90.00 degrees. The distinct sites, in fractional coordinates, are Ce at (0.000, 0.000, 0.000), Ce at (0.000, 0.500, 0.204), Ce at (0.250, 0.250, 0.209), Sb at (0.192, 0.000, 0.500) and C at (0.000, 0.262, 0.000).

---

This record from Alexandria describes crystalline Ce6Sb5C at its relaxed geometry. The functional is PBE.

For the formation energy without anion corrections, the calculation gives -0.785 eV per atom.

The space group is C2/m (No. 12) and the conventional cell measures 7.593, 13.039 and 7.533 Å, with angles of 90.00, 109.58 and 90.00 degrees. The distinct sites, in fractional coordinates, are Ce at (0.216, 0.000, 0.263), Ce at (0.219, 0.147, 0.721), Sb at (0.000, 0.184, 0.000), Sb at (0.000, 0.337, 0.500), Sb at (0.000, 0.500, 0.000) and C at (0.000, 0.000, 0.500).

---

This record from Alexandria describes crystalline Ce12Sb6C at its relaxed geometry. The functional is PBE.

For the formation energy without anion corrections, the calculation gives -0.564 eV per atom.

The space group is R-3 (No. 148, hexagonal axes) and the conventional cell measures 12.1191, 12.1191 and 12.2970 Å, with angles of 90.00, 90.00 and 120.00 degrees. The distinct sites, in fractional coordinates, are Ce at (0.0437, 0.8605, 0.3427), Ce at (0.0453, 0.1876, 0.8807), Sb at (0.0087, 0.5925, 0.2349) and C at (0.0000, 0.0000, 0.0000).

---

Look up the formation energy without anion corrections of the third one. -1.737 eV per atom

---

Which value of formation energy without anion corrections does entry 3 give? -1.737 eV per atom

---

The lowest formation energy without anion corrections belongs to which entry? Ce6CS5